[1]
Below is a relaxed SeClO crystal, with properties calculated at the PBE-GGA level.

Cell lengths 11.335, 3.524, 7.749 Å; angles 90.00, 106.25, 90.00 degrees
Space group C2/m (No. 12)
Inequivalent atoms, fractional coordinates:
Se  0.216  0.000  0.169 x4
Cl  0.089  0.000  0.339 x4
O  0.167  0.500  0.066 x4

Summary:
The value obtained for the uncorrected formation energy is -0.22 eV/atom. As for the final energy: -3.654 eV per atom.

=====

[2]
Below is a relaxed HfMg2ZnTe crystal, with properties calculated at the PBE-GGA level.

Cell lengths 5.253, 5.253, 5.328 Å; angles 90.00, 90.00, 90.00 degrees
Space group P4/mmm (No. 123)
Inequivalent atoms, fractional coordinates:
Hf  0.000  0.000  0.000 x1
Mg  0.000  0.500  0.500 x2
Zn  0.500  0.500  0.000 x1
Te  0.000  0.000  0.500 x1

Summary:
The value obtained for the uncorrected formation energy is 0.74 eV/atom. As for the final energy: -2.768 eV per atom.

=====

[3]
Below is a relaxed Na3InAu8 crystal, with properties calculated at the PBE-GGA level.

Cell lengths 5.6163, 5.6163, 27.6043 Å; angles 90.00, 90.00, 120.00 degrees
Space group R3m (No. 160, hexagonal axes)
Inequivalent atoms, fractional coordinates:
Na  0.0000  0.0000  0.0000 x3
Na  0.0000  0.0000  0.1252 x3
Na  0.0000  0.0000  0.4989 x3
In  0.0000  0.0000  0.6225 x3
Au  0.0000  0.0000  0.3127 x3
Au  0.0000  0.0000  0.8124 x3
Au  0.9996  0.4998  0.0624 x9
Au  0.0002  0.5001  0.5623 x9

Summary:
The formation energy from the elements is -0.2846 eV/atom. As for the final energy: -3.027 eV per atom.

=====

[4]
Below is a relaxed Sr2CuPt crystal, with properties calculated at the PBE-GGA level.

Cell lengths 4.403, 4.403, 6.175 Å; angles 90.00, 90.00, 90.00 degrees
Space group P4mm (No. 99)
Inequivalent atoms, fractional coordinates:
Sr  0.000  0.000  0.000 x1
Sr  0.500  0.500  0.499 x1
Cu  0.500  0.500  0.999 x1
Pt  0.000  0.000  0.500 x1

Summary:
The formation energy from the elements is -0.2786 eV/atom. As for the final energy: -3.654 eV per atom.

=====

[5]
Below is a relaxed PC crystal, with properties calculated at the PBE-GGA level.

Cell lengths 2.662, 7.946, 2.665 Å; angles 90.00, 90.00, 90.00 degrees
Space group Cmmm (No. 65)
Inequivalent atoms, fractional coordinates:
P  0.000  0.000  0.000 x2
C  0.000  0.500  0.500 x2

Summary:
The calculation puts the excess energy over the best structure of this formula in the dataset at 955 meV per atom. The formation energy from the elements is 1.2673 eV/atom. As for the final energy: -6.050 eV per atom.

=====

[6]
Below is a relaxed Ti3Co crystal, with properties calculated at the PBE-GGA level.

Cell lengths 3.614, 3.614, 9.172 Å; angles 90.00, 90.00, 90.00 degrees
Space group I4/mmm (No. 139)
Inequivalent atoms, fractional coordinates:
Ti  0.000  0.000  0.000 x2
Ti  0.000  0.500  0.250 x4
Co  0.000  0.000  0.500 x2

Summary:
The formation energy from the elements is -0.0340 eV/atom. As for the final energy: -7.732 eV per atom.